# BiIr2I4 GGA-PBE optimized geometry
# Volume: 512.1 Å³ per cell
# Formation energy (no corrections): 0.7723 eV per atom
data_BiIr2I4
_symmetry_space_group_name_H-M 'I 4/m m m'
_symmetry_Int_Tables_number 139
_symmetry_space_group_name_Hall '-I 4 2'
_cell_length_a 6.086
_cell_length_b 6.086
_cell_length_c 13.828
_cell_angle_alpha 90.00
_cell_angle_beta 90.00
_cell_angle_gamma 90.00
loop_
_atom_site_label
_atom_site_type_symbol
_atom_site_fract_x
_atom_site_fract_y
_atom_site_fract_z
Bi1 Bi 0.000 0.000 0.000
Ir1 Ir 0.000 0.000 0.416
I1 I 0.000 0.000 0.224
I2 I 0.000 0.500 0.000